Entry 1:
Cd7InSn2 (PBE, optimized geometry); total magnetization = 0.00 μB/cell; raw total energy = -15.91 eV per cell; energy relative to the elements = 0.124 eV/atom; space group = Cmmm
1.0
-1.7123 3.5860 1.2899
-0.8905 -2.8422 6.7191
8.4923 4.4231 -1.0233
Sn Cd In
2 7 1
direct
0.5000 0.7429 0.4857
0.5000 0.2571 0.5143
0.5000 0.9109 0.2191
0.5000 0.3082 0.2191
0.5000 0.6918 0.7809
0.5000 0.5000 0.0000
0.0000 0.6241 0.2482
0.5000 0.0891 0.7809
0.0000 0.3759 0.7518
0.0000 0.0000 0.0000

Entry 2:
CdIn5Sn (PBE, optimized geometry); total magnetization = 0.00 μB/cell; raw total energy = -36.47 eV per cell; energy relative to the elements = 0.053 eV/atom; space group = C2/c
1.0
-2.4487 1.7221 -4.9223
3.1705 -5.5348 -5.3199
-6.8490 -4.6987 -0.0429
Cd In Sn
2 10 2
direct
0.5000 0.0000 0.0000
0.0000 0.0000 0.0000
0.0674 0.3421 0.1726
0.5674 0.1726 0.3421
0.4326 0.8274 0.6579
0.1622 0.9484 0.3429
0.3378 0.6571 0.0516
0.2500 0.2607 0.7393
0.8378 0.0516 0.6571
0.9326 0.6579 0.8274
0.7500 0.7393 0.2607
0.6622 0.3429 0.9484
0.7500 0.4389 0.5611
0.2500 0.5611 0.4389

Entry 3:
CdIn2Sn2 (PBE, optimized geometry); total magnetization = 0.00 μB/cell; ΔE to the lowest computed polymorph = 78.2 meV/atom; raw total energy = -13.75 eV per cell; energy relative to the elements = 0.129 eV/atom; space group = I4/mmm
1.0
-3.8949 -1.9663 0.7438
1.3125 -3.4978 -2.3734
4.0875 -0.4488 7.0488
In Sn Cd
2 2 1
direct
0.5980 0.5980 0.1961
0.4020 0.4020 0.8039
0.2500 0.7500 0.5000
0.7500 0.2500 0.5000
0.0000 0.0000 0.0000

Entry 4:
Cd4In4Sn (PBE, optimized geometry); total magnetization = 0.00 μB/cell; raw total energy = -18.30 eV per cell; energy relative to the elements = 0.035 eV/atom; space group = I4/mmm
1.0
4.4658 0.0000 1.5124
2.2329 6.9398 0.7562
0.0069 0.0000 7.3293
Cd In Sn
4 4 1
direct
0.3416 0.6584 0.6583
0.0001 0.6583 0.3416
0.6584 0.3416 0.3417
0.9999 0.3417 0.6584
0.3309 0.3382 0.9999
0.6691 0.6618 0.0001
0.3308 0.0001 0.3382
0.6692 0.9999 0.6618
0.0000 0.0000 0.0000

Entry 5:
Cd2In8Sn (PBE, optimized geometry); total magnetization = 0.00 μB/cell; ΔE to the lowest computed polymorph = 49.1 meV/atom; raw total energy = -26.69 eV per cell; energy relative to the elements = 0.095 eV/atom; space group = C2/m
1.0
-3.8861 1.3123 3.5655
0.3579 -6.0728 5.3789
4.2424 2.3063 6.5286
In Sn Cd
8 1 2
direct
0.1059 0.7505 0.7505
0.8941 0.2495 0.2495
0.7096 0.6104 0.6104
0.7831 0.6489 0.2009
0.2904 0.3896 0.3896
0.2169 0.7991 0.3511
0.2169 0.3511 0.7991
0.7831 0.2009 0.6489
0.0000 0.0000 0.0000
0.5388 0.8580 0.8580
0.4612 0.1420 0.1420

Entry 6:
Cd2In4Sn (PBE, optimized geometry); total magnetization = 0.00 μB/cell; ΔE to the lowest computed polymorph = 0.0 meV/atom; raw total energy = -16.56 eV per cell; energy relative to the elements = 0.032 eV/atom; space group = R-3m
1.0
3.3798 0.0000 0.2926
1.6772 2.9343 0.2926
0.1066 0.0619 18.4337
In Cd Sn
4 2 1
direct
0.7161 0.7161 0.8516
0.2839 0.2839 0.1484
0.8578 0.8578 0.4267
0.1422 0.1422 0.5733
0.5706 0.5706 0.2882
0.4294 0.4294 0.7118
0.0000 0.0000 0.0000

Question: Number 3 is which compound?
Answer: CdIn2Sn2

Question: Which value of energy relative to the elements does entry 2 give?
Answer: 0.053 eV/atom